# 1
CaTa2Pb | PBE | relaxed

a = 4.972 Å, b = 4.972 Å, c = 4.972 Å
α = 60.00°, β = 60.00°, γ = 60.00°
Fractional positions:
Ca 0.500 0.500 0.500
Ta 0.000 0.000 0.000
Ta 0.250 0.250 0.250
Pb 0.750 0.750 0.750

Computed properties:
Space group: No. 216
Total magnetization, μB/cell: 0.0
DFT total energy, eV/atom: -6.806
ΔE_f, eV/atom: 0.548

=====

# 2
LaPmSbBr | PBE | relaxed

a = 5.434 Å, b = 5.434 Å, c = 5.434 Å
α = 60.00°, β = 60.00°, γ = 60.00°
Each line ends with the local moment (μB).
Fractional positions:
Pm 0.000 0.000 0.000  0.07
La 0.500 0.500 0.500  0.05
Sb 0.250 0.250 0.250  0.00
Br 0.750 0.750 0.750  0.00

Computed properties:
Space group: No. 216
Total magnetization, μB/cell: 0.2
DFT total energy, eV/atom: -5.035
Formation energy without anion corrections, kcal/mol of atoms: -26.90